The following is a GGA-PBE calculation of an optimized crystal structure of MnCuP2N, from Alexandria.

Output
VASP energy, eV for the cell shown: -25.56
Density, g/cm3: 3.89
Size of the total moment, μB per formula unit: 2.83
V, Å³/cell: 83.1
ΔE to the lowest computed polymorph, meV/atom: 779

CIF file:
```
data_MnCuP2N
_symmetry_space_group_name_H-M 'P 4/m m m'
_symmetry_Int_Tables_number 123
_symmetry_space_group_name_Hall '-P 4 2'
_cell_length_a 4.186
_cell_length_b 4.186
_cell_length_c 4.742
_cell_angle_alpha 90.00
_cell_angle_beta 90.00
_cell_angle_gamma 90.00
loop_
_atom_site_label
_atom_site_type_symbol
_atom_site_fract_x
_atom_site_fract_y
_atom_site_fract_z
_atom_site_occupancy
Mn1 Mn 0.000 0.000 0.000 1
Cu1 Cu 0.000 0.000 0.500 1
P1 P 0.000 0.500 0.000 1
N1 N 0.500 0.500 0.500 1
```



The following is a GGA-PBE calculation of an optimized crystal structure of MnCuP2N, from Alexandria.

Output
VASP energy, eV for the cell shown: -24.02
Density, g/cm3: 3.70
Size of the total moment, μB per formula unit: 4.62
V, Å³/cell: 87.2
ΔE to the lowest computed polymorph, meV/atom: 1085

CIF file:
```
data_MnCuP2N
_symmetry_space_group_name_H-M 'P 4/m m m'
_symmetry_Int_Tables_number 123
_symmetry_space_group_name_Hall '-P 4 2'
_cell_length_a 4.244
_cell_length_b 4.244
_cell_length_c 4.842
_cell_angle_alpha 90.00
_cell_angle_beta 90.00
_cell_angle_gamma 90.00
loop_
_atom_site_label
_atom_site_type_symbol
_atom_site_fract_x
_atom_site_fract_y
_atom_site_fract_z
_atom_site_occupancy
Mn1 Mn 0.000 0.000 0.000 1
Cu1 Cu 0.000 0.000 0.500 1
P1 P 0.000 0.500 0.500 1
N1 N 0.500 0.500 0.000 1
```



The following is a GGA-PBE calculation of an optimized crystal structure of MnCuP2N, from Alexandria.

Output
VASP energy, eV for the cell shown: -29.45
Density, g/cm3: 4.98
Size of the total moment, μB per formula unit: 3.20
V, Å³/cell: 64.9
ΔE to the lowest computed polymorph, meV/atom: 0

CIF file:
```
data_MnCuP2N
_symmetry_space_group_name_H-M 'P 4/m m m'
_symmetry_Int_Tables_number 123
_symmetry_space_group_name_Hall '-P 4 2'
_cell_length_a 4.143
_cell_length_b 4.143
_cell_length_c 3.779
_cell_angle_alpha 90.00
_cell_angle_beta 90.00
_cell_angle_gamma 90.00
loop_
_atom_site_label
_atom_site_type_symbol
_atom_site_fract_x
_atom_site_fract_y
_atom_site_fract_z
_atom_site_occupancy
Mn1 Mn 0.000 0.000 0.000 1
Cu1 Cu 0.500 0.500 0.000 1
P1 P 0.000 0.500 0.500 1
N1 N 0.000 0.000 0.500 1
```



The following is a GGA-PBE calculation of an optimized crystal structure of Pa2MnCu2N6, from Alexandria.

Output
VASP energy, eV for the cell shown: -267.25
Density, g/cm3: 8.81
Size of the total moment, μB per formula unit: 2.59
V, Å³/cell: 411.6

CIF file:
```
data_Pa2MnCu2N6
_symmetry_space_group_name_H-M 'R -3 m'
_symmetry_Int_Tables_number 166
_symmetry_space_group_name_Hall '-R 3 2"'
_cell_length_a 5.6919
_cell_length_b 5.6919
_cell_length_c 14.6699
_cell_angle_alpha 90.00
_cell_angle_beta 90.00
_cell_angle_gamma 120.00
loop_
_atom_site_label
_atom_site_type_symbol
_atom_site_fract_x
_atom_site_fract_y
_atom_site_fract_z
_atom_site_occupancy
Pa1 Pa 0.0000 0.0000 0.2018 1
Mn1 Mn 0.0000 0.0000 0.0000 1
Cu1 Cu 0.0000 0.0000 0.4087 1
N1 N 0.0382 0.5191 0.7572 1
```